The following is a PBEsol calculation of an optimized crystal structure of Ba2ScTc, from Alexandria.

Calculated values
Offset from the most stable computed form, meV per atom: 419
E, eV for the cell shown: -19.00
Formation enthalpy at 0 K, kJ per mole of atoms: 76.4
DOS(E_F), states/eV/cell: 3.80

Cell: 5.339 5.339 5.339 Å, 119.64 119.64 90.62°
Fractional positions:
Ba 0.000 0.000 0.000
Ba 0.750 0.250 0.500
Sc 0.500 0.500 0.000
Tc 0.250 0.750 0.500

=====

The following is a PBEsol calculation of an optimized crystal structure of MgBrCl2, from Alexandria.

Calculated values
Offset from the most stable computed form, meV per atom: 0
E, eV for the cell shown: -12.31
E_form (uncorrected), kJ/mol of atoms: -113.6
DOS(E_F), states/eV/cell: 2.33

Cell: 10.327 10.327 10.327 Å, 19.19 19.19 19.19°
Fractional positions:
Mg 0.000 0.000 0.000
Br 0.500 0.500 0.500
Cl 0.286 0.286 0.286
Cl 0.714 0.714 0.714

=====

The following is a PBEsol calculation of an optimized crystal structure of Ag3As, from Alexandria.

Calculated values
E, eV for the cell shown: -14.71
Formation enthalpy at 0 K, kJ per mole of atoms: 7.9
DOS(E_F), states/eV/cell: 0.67

Cell: 4.952 4.952 5.013 Å, 98.87 98.87 34.22°
Fractional positions:
Ag 0.000 0.000 0.000
Ag 0.249 0.249 0.750
Ag 0.751 0.751 0.250
As 0.500 0.500 0.500

=====

The following is a PBEsol calculation of an optimized crystal structure of LaZnCd, from Alexandria.

Calculated values
E, eV for the cell shown: -8.72
Formation enthalpy at 0 K, kJ per mole of atoms: -19.3
DOS(E_F), states/eV/cell: 4.67

Cell: 4.790 4.790 4.790 Å, 60.00 60.00 60.00°
Fractional positions:
La 0.000 0.000 0.000
Zn 0.250 0.250 0.250
Cd 0.500 0.500 0.500